No. 1
A plane-wave DFT calculation with PBE was carried out for a relaxed structure of PaSCl3.

Cell: 7.2611 7.4110 13.6871 Å, 90.00 96.96 90.00°
With the nearest neighbours (Å) after each atom.
Sites, in units of the cell vectors:
S1 0.8691 0.8817 0.7108  1 S 2.07
Pa1 0.0877 0.6243 0.6378  4 Cl 2.53-2.76, 2 S 2.75-2.81
S2 0.8691 0.1183 0.2108  1 S 2.07
Cl1 0.2221 0.4378 0.8015  2 Pa 2.71-2.85
Cl2 0.3646 0.7687 0.5723  1 Pa 2.53
Cl3 0.8636 0.3094 0.9642  2 Pa 2.76
S3 0.1309 0.8817 0.7892  1 S 2.07
Cl4 0.6354 0.7687 0.9277  1 Pa 2.53
Cl5 0.8636 0.6906 0.4642  2 Pa 2.76
Cl6 0.3646 0.2313 0.0723  1 Pa 2.53
S4 0.1309 0.1183 0.2892  1 S 2.07
Cl7 0.1364 0.6906 0.0358  2 Pa 2.76
Cl8 0.7779 0.5622 0.1985  2 Pa 2.71-2.85
Pa2 0.9123 0.3757 0.3622  4 Cl 2.53-2.76, 2 S 2.75-2.81
Cl9 0.6354 0.2313 0.4277  1 Pa 2.53
Cl10 0.1364 0.3094 0.5358  2 Pa 2.76
Cl11 0.7779 0.4378 0.6985  2 Pa 2.71-2.85
Pa3 0.9123 0.6243 0.8622  4 Cl 2.53-2.76, 2 S 2.75-2.81
Pa4 0.0877 0.3757 0.1378  4 Cl 2.53-2.76, 2 S 2.75-2.81
Cl12 0.2221 0.5622 0.3015  2 Pa 2.71-2.85

## Properties
**Formation energy without anion corrections**: -155.8 kJ/mol of atoms
**Theoretical density**: 3.4 g/cm³
**Total magnetic moment**: 1.0 μB/f.u.
**Space group**: P2/c (13)
**D(E_F)**: 0.669 states/eV/atom
**E**: -5.45 eV per atom


No. 2
A plane-wave DFT calculation with PBE was carried out for a relaxed structure of PaS2Cl2.

Cell: 6.9396 7.3756 7.1669 Å, 84.69 61.04 78.99°
With the nearest neighbours (Å) after each atom.
Sites, in units of the cell vectors:
S1 0.0874 0.2133 0.0000  1 S 2.08
S2 0.9126 0.7867 0.0000  1 S 2.08
Cl1 0.4765 0.7190 0.5854  2 Pa 2.76-2.80
S3 0.7036 0.6195 0.0000  1 S 2.08
Cl2 0.0618 0.7190 0.4146  2 Pa 2.76-2.80
Pa1 0.8544 0.5000 0.2911  4 Cl 2.76-2.80, 4 S 2.77
S4 0.2964 0.3805 0.0000  1 S 2.08
Cl3 0.5235 0.2810 0.4146  2 Pa 2.76-2.80
Pa2 0.1456 0.5000 0.7089  4 Cl 2.76-2.80, 4 S 2.77
Cl4 0.9382 0.2810 0.5854  2 Pa 2.76-2.80

## Properties
**Formation energy without anion corrections**: -140.5 kJ/mol of atoms
**Theoretical density**: 3.9 g/cm³
**Total magnetic moment**: 1.0 μB/f.u.
**Space group**: C2/m (12)
**D(E_F)**: 0.498 states/eV/atom
**E**: -5.74 eV per atom


No. 3
A plane-wave DFT calculation with PBE was carried out for a relaxed structure of PaS6Cl2.

Cell: 4.5556 8.1350 8.1990 Å, 112.62 91.84 91.79°
With the nearest neighbours (Å) after each atom.
Sites, in units of the cell vectors:
S1 0.0019 0.3690 0.1339  1 S 2.03
Cl1 0.5002 0.8783 0.1195  2 Pa 2.81, 2 S 3.13
S2 0.2523 0.3168 0.3159  2 S 2.03
Cl2 0.4998 0.1217 0.8805  2 Pa 2.81, 2 S 3.13
S3 0.0022 0.1325 0.3661  1 S 2.03
Pa1 0.0000 0.0000 0.0000  6 S 2.77-3.03, 4 Cl 2.81
S4 0.9978 0.8675 0.6339  1 S 2.03
S5 0.7477 0.6832 0.6841  2 S 2.03
S6 0.9981 0.6310 0.8661  1 S 2.03

## Properties
**Formation energy without anion corrections**: -65.0 kJ/mol of atoms
**Theoretical density**: 2.9 g/cm³
**Total magnetic moment**: 0.8 μB/f.u.
**Space group**: P-1 (2)
**D(E_F)**: 0.743 states/eV/atom
**E**: -4.89 eV per atom


No. 4
A plane-wave DFT calculation with PBE was carried out for a relaxed structure of PaS2Cl.

Cell: 3.8550 7.1499 8.1329 Å, 90.00 90.00 105.60°
With the nearest neighbours (Å) after each atom.
Sites, in units of the cell vectors:
Cl1 0.1055 0.2101 0.7500  2 Pa 2.76
S1 0.6637 0.3270 0.4339  3 Pa 2.73-2.82, 1 S 2.99
Pa1 0.7483 0.4964 0.7500  6 S 2.73-2.82, 2 Cl 2.76
Cl2 0.8945 0.7899 0.2500  2 Pa 2.76
Pa2 0.2517 0.5036 0.2500  6 S 2.73-2.82, 2 Cl 2.76
S2 0.3363 0.6730 0.9339  3 Pa 2.73-2.82, 1 S 2.99
S3 0.6637 0.3270 0.0661  3 Pa 2.73-2.82, 1 S 2.99
S4 0.3363 0.6730 0.5661  3 Pa 2.73-2.82, 1 S 2.99

## Properties
**Formation energy without anion corrections**: -154.4 kJ/mol of atoms
**Theoretical density**: 5.1 g/cm³
**Total magnetic moment**: 0.0 μB/f.u.
**Space group**: Cmcm (63)
**D(E_F)**: 0.098 states/eV/atom
**E**: -6.50 eV per atom


No. 5
A plane-wave DFT calculation with PBE was carried out for a relaxed structure of PaSCl3.

Cell: 7.6667 7.6667 7.4706 Å, 90.00 90.00 121.07°
With the nearest neighbours (Å) after each atom.
Sites, in units of the cell vectors:
S1 0.0000 0.0000 0.0000  2 Pa 2.57
S2 0.0000 0.0000 0.5000  2 Pa 2.57
Cl1 0.5000 0.5000 0.5000  2 Pa 2.74
Cl2 0.4401 0.0662 0.2500  1 Pa 2.50
Cl3 0.0662 0.4401 0.2500  1 Pa 2.50
Pa1 0.2336 0.2336 0.2500  4 Cl 2.50-2.74, 2 S 2.57
Cl4 0.9338 0.5599 0.7500  1 Pa 2.50
Pa2 0.7664 0.7664 0.7500  4 Cl 2.50-2.74, 2 S 2.57
Cl5 0.5000 0.5000 0.0000  2 Pa 2.74
Cl6 0.5599 0.9338 0.7500  1 Pa 2.50

## Properties
**Formation energy without anion corrections**: -161.6 kJ/mol of atoms
**Theoretical density**: 3.3 g/cm³
**Total magnetic moment**: 0.0 μB/f.u.
**Space group**: Cmcm (63)
**E**: -5.51 eV per atom


No. 6
A plane-wave DFT calculation with PBE was carried out for a relaxed structure of PaS2Cl.

Cell: 4.3219 4.3219 6.5829 Å, 70.84 70.84 60.00°
With the nearest neighbours (Å) after each atom.
Sites, in units of the cell vectors:
S1 0.7214 0.7214 0.8358  3 Pa 2.69
Cl1 0.5000 0.5000 0.5000  6 S 3.23
S2 0.2786 0.2786 0.1642  3 Pa 2.69
Pa1 0.0000 0.0000 0.0000  6 S 2.69

## Properties
**Formation energy without anion corrections**: -118.1 kJ/mol of atoms
**Theoretical density**: 5.6 g/cm³
**Total magnetic moment**: 0.0 μB/f.u.
**Space group**: R-3m (166)
**E**: -6.12 eV per atom